1.
The following is a DFT calculation (GGA-PBE) of a relaxed structure of K2MgFe.

Unit cell a=8.4121 b=8.4121 c=8.4121 alpha=90.00 beta=90.00 gamma=90.00
Space group Fm-3m (No. 225)
Symmetry-distinct sites (fractional):
K1 0.2500 0.2500 0.2500
Mg1 0.0000 0.0000 0.0000
Fe1 0.0000 0.0000 0.5000

## Properties
- offset from the most stable computed form (eV per atom) = 0.294
- calculated total energy (eV per atom) = -2.180
- volume (Å³ per cell) = 595.3
- ΔH_f (0 K) (meV/atom) = 883
- N(E_F) (states/eV/atom) = 0.7987

=====

2.
The following is a DFT calculation (GGA-PBE) of a relaxed structure of Cu2OsW.

Unit cell a=2.7402 b=2.7402 c=26.0013 alpha=90.00 beta=90.00 gamma=120.00
Space group R3m (No. 160, hexagonal axes)
Symmetry-distinct sites (fractional):
Cu1 0.0000 0.0000 0.0000
Cu2 0.0000 0.0000 0.2559
Os1 0.0000 0.0000 0.5039
W1 0.0000 0.0000 0.7539

## Properties
- offset from the most stable computed form (eV per atom) = 0.001
- calculated total energy (eV per atom) = -7.872
- volume (Å³ per cell) = 169.1
- ΔH_f (0 K) (meV/atom) = 222
- N(E_F) (states/eV/atom) = 0.7512

=====

3.
The following is a DFT calculation (GGA-PBE) of a relaxed structure of RbInIO2.

Unit cell a=5.1679 b=5.1679 c=7.5400 alpha=90.00 beta=90.00 gamma=90.00
Space group P4/mmm (No. 123)
Symmetry-distinct sites (fractional):
Rb1 0.0000 0.0000 0.0000
In1 0.5000 0.5000 0.5000
I1 0.0000 0.0000 0.5000
O1 0.0000 0.5000 0.0000

## Properties
- offset from the most stable computed form (eV per atom) = 0.882
- calculated total energy (eV per atom) = -2.806
- volume (Å³ per cell) = 201.4
- N(E_F) (states/eV/atom) = 0.9490

=====

4.
The following is a DFT calculation (GGA-PBE) of a relaxed structure of Rb3NdTh2Se6.

Unit cell a=7.4570 b=12.9143 c=8.4963 alpha=90.00 beta=107.01 gamma=90.00
Space group C2/m (No. 12)
Symmetry-distinct sites (fractional):
Rb1 0.0000 0.0000 0.0000
Rb2 0.0000 0.3348 0.0000
Nd1 0.0000 0.5000 0.5000
Th1 0.0000 0.1668 0.5000
Se1 0.2290 0.0000 0.7051
Se2 0.2383 0.3303 0.7055

## Properties
- calculated total energy (eV per atom) = -5.212
- volume (Å³ per cell) = 782.4
- N(E_F) (states/eV/atom) = 0.6164

=====

Which value of calculated total energy does entry 3 give?
-2.806 eV per atom

=====

volume of number 1 (K2MgFe)?
595.3 Å³ per cell

=====

Repeat the third record exactly.
The following is a DFT calculation (GGA-PBE) of a relaxed structure of RbInIO2.

Unit cell a=5.1679 b=5.1679 c=7.5400 alpha=90.00 beta=90.00 gamma=90.00
Space group P4/mmm (No. 123)
Symmetry-distinct sites (fractional):
Rb1 0.0000 0.0000 0.0000
In1 0.5000 0.5000 0.5000
I1 0.0000 0.0000 0.5000
O1 0.0000 0.5000 0.0000

## Properties
- offset from the most stable computed form (eV per atom) = 0.882
- calculated total energy (eV per atom) = -2.806
- volume (Å³ per cell) = 201.4
- N(E_F) (states/eV/atom) = 0.9490